Entry 1:
Below is crystalline LaPr7Nd2 at its relaxed geometry, with properties calculated at the PBE-GGA level.

a = 9.470 Å, b = 9.470 Å, c = 5.706 Å
α = 90.00°, β = 90.00°, γ = 123.27°
Fractional coordinates of all 10 atoms:
La1 0.000 0.000 0.000
Pr1 0.066 0.296 0.500
Pr2 0.229 0.771 0.000
Pr3 0.296 0.066 0.500
Pr4 0.500 0.500 0.500
Pr5 0.704 0.934 0.500
Pr6 0.771 0.229 0.000
Pr7 0.934 0.704 0.500
Nd1 0.298 0.702 0.500
Nd2 0.702 0.298 0.500

**Total magnetization**: 0.00 μB per cell
**E above lowest polymorph**: 0.580 eV per atom
**Formation energy**: 573 kJ/mol of formula units



Entry 2:
Below is crystalline La8Pr2Nd3 at its relaxed geometry, with properties calculated at the PBE-GGA level.

a = 5.949 Å, b = 7.771 Å, c = 11.194 Å
α = 110.26°, β = 90.01°, γ = 90.00°
Fractional coordinates of all 13 atoms:
La1 0.000 0.100 0.292
La2 0.000 0.308 0.708
La3 0.000 0.692 0.292
La4 0.000 0.900 0.708
La5 0.499 0.635 0.770
La6 0.499 0.827 0.154
La7 0.501 0.173 0.846
La8 0.501 0.365 0.230
Pr1 0.001 0.257 0.015
Pr2 0.999 0.743 0.985
Nd1 0.000 0.500 0.500
Nd2 0.500 0.219 0.500
Nd3 0.500 0.781 0.500

**Total magnetization**: 0.00 μB per cell
**E above lowest polymorph**: 0.042 eV per atom
**Formation energy**: 216 kJ/mol of formula units



Entry 3:
Below is crystalline La3Pr6Nd2 at its relaxed geometry, with properties calculated at the PBE-GGA level.

a = 6.431 Å, b = 8.299 Å, c = 8.340 Å
α = 107.42°, β = 97.38°, γ = 104.73°
Fractional coordinates of all 11 atoms:
La1 0.000 0.000 0.000
La2 0.364 0.454 0.272
La3 0.636 0.546 0.728
Pr1 0.092 0.363 0.819
Pr2 0.182 0.728 0.636
Pr3 0.273 0.091 0.455
Pr4 0.727 0.909 0.545
Pr5 0.818 0.272 0.364
Pr6 0.908 0.637 0.181
Nd1 0.454 0.819 0.091
Nd2 0.546 0.181 0.909

**Total magnetization**: 0.00 μB per cell
**E above lowest polymorph**: 0.000 eV per atom
**Formation energy**: 18 kJ/mol of formula units



Entry 4:
Below is crystalline La12Pr7Nd at its relaxed geometry, with properties calculated at the PBE-GGA level.

a = 11.190 Å, b = 11.190 Å, c = 11.190 Å
α = 115.52°, β = 115.52°, γ = 115.52°
Fractional coordinates of all 20 atoms:
La1 0.066 0.501 0.286
La2 0.199 0.270 0.746
La3 0.254 0.801 0.730
La4 0.270 0.746 0.199
La5 0.286 0.066 0.501
La6 0.499 0.714 0.934
La7 0.501 0.286 0.066
La8 0.714 0.934 0.499
La9 0.730 0.254 0.801
La10 0.746 0.199 0.270
La11 0.801 0.730 0.254
La12 0.934 0.499 0.714
Pr1 0.080 0.228 0.389
Pr2 0.228 0.389 0.080
Pr3 0.389 0.080 0.228
Pr4 0.500 0.500 0.500
Pr5 0.611 0.920 0.772
Pr6 0.772 0.611 0.920
Pr7 0.920 0.772 0.611
Nd1 0.000 0.000 0.000

**Total magnetization**: 0.00 μB per cell
**E above lowest polymorph**: 0.063 eV per atom
**Formation energy**: 449 kJ/mol of formula units



Entry 5:
Below is crystalline LaPr5Nd8 at its relaxed geometry, with properties calculated at the PBE-GGA level.

a = 8.721 Å, b = 8.721 Å, c = 8.721 Å
α = 111.71°, β = 111.71°, γ = 105.08°
Fractional coordinates of all 14 atoms:
La1 0.000 0.000 0.000
Pr1 0.032 0.430 0.819
Pr2 0.250 0.750 0.500
Pr3 0.570 0.389 0.602
Pr4 0.611 0.213 0.181
Pr5 0.787 0.968 0.398
Nd1 0.083 0.322 0.395
Nd2 0.283 0.180 0.748
Nd3 0.311 0.917 0.239
Nd4 0.431 0.535 0.252
Nd5 0.465 0.717 0.896
Nd6 0.678 0.072 0.761
Nd7 0.820 0.569 0.104
Nd8 0.928 0.689 0.605

**Total magnetization**: 0.00 μB per cell
**Formation energy**: 281 kJ/mol of formula units



Entry 6:
Below is crystalline LaPr3Nd at its relaxed geometry, with properties calculated at the PBE-GGA level.

a = 9.594 Å, b = 9.594 Å, c = 6.202 Å
α = 108.68°, β = 108.68°, γ = 42.76°
Fractional coordinates of all 10 atoms:
La1 0.000 0.000 0.000
La2 0.000 0.000 0.500
Pr1 0.112 0.582 0.598
Pr2 0.226 0.226 0.974
Pr3 0.418 0.888 0.402
Pr4 0.582 0.112 0.598
Pr5 0.774 0.774 0.026
Pr6 0.888 0.418 0.402
Nd1 0.451 0.451 0.202
Nd2 0.549 0.549 0.798

**Total magnetization**: 0.00 μB per cell
**E above lowest polymorph**: 0.000 eV per atom
**Formation energy**: 79 kJ/mol of formula units



Entry 7:
Below is crystalline La2PrNd3 at its relaxed geometry, with properties calculated at the PBE-GGA level.

a = 9.519 Å, b = 9.519 Å, c = 7.228 Å
α = 90.00°, β = 90.00°, γ = 41.61°
Fractional coordinates of all 12 atoms:
La1 0.153 0.153 0.000
La2 0.153 0.153 0.500
La3 0.847 0.847 0.000
La4 0.847 0.847 0.500
Pr1 0.255 0.745 0.750
Pr2 0.745 0.255 0.250
Nd1 0.246 0.754 0.250
Nd2 0.322 0.326 0.250
Nd3 0.326 0.322 0.750
Nd4 0.674 0.678 0.250
Nd5 0.678 0.674 0.750
Nd6 0.754 0.246 0.750

**Total magnetization**: 0.00 μB per cell
**E above lowest polymorph**: 0.000 eV per atom
**Formation energy**: 80 kJ/mol of formula units



Entry 8:
Below is crystalline LaPr3Nd at its relaxed geometry, with properties calculated at the PBE-GGA level.

a = 8.074 Å, b = 8.074 Å, c = 6.685 Å
α = 90.00°, β = 90.00°, γ = 119.56°
Fractional coordinates of all 10 atoms:
La1 0.199 0.801 0.750
La2 0.801 0.199 0.250
Pr1 0.000 0.000 0.000
Pr2 0.000 0.000 0.500
Pr3 0.202 0.399 0.750
Pr4 0.399 0.202 0.250
Pr5 0.601 0.798 0.750
Pr6 0.798 0.601 0.250
Nd1 0.335 0.665 0.250
Nd2 0.665 0.335 0.750

**Total magnetization**: 0.00 μB per cell
**E above lowest polymorph**: 0.121 eV per atom
**Formation energy**: 137 kJ/mol of formula units



Entry 9:
Below is crystalline La5Pr4Nd at its relaxed geometry, with properties calculated at the PBE-GGA level.

a = 7.113 Å, b = 11.815 Å, c = 8.922 Å
α = 90.00°, β = 90.00°, γ = 90.00°
Fractional coordinates of all 20 atoms:
La1 0.028 0.034 0.171
La2 0.028 0.466 0.171
La3 0.250 0.250 0.459
La4 0.472 0.034 0.171
La5 0.472 0.466 0.171
La6 0.528 0.534 0.829
La7 0.528 0.966 0.829
La8 0.750 0.750 0.541
La9 0.972 0.534 0.829
La10 0.972 0.966 0.829
Pr1 0.001 0.250 0.863
Pr2 0.250 0.575 0.484
Pr3 0.250 0.925 0.484
Pr4 0.499 0.250 0.863
Pr5 0.501 0.750 0.137
Pr6 0.750 0.075 0.516
Pr7 0.750 0.425 0.516
Pr8 0.999 0.750 0.137
Nd1 0.250 0.750 0.774
Nd2 0.750 0.250 0.226

**Total magnetization**: 0.00 μB per cell
**E above lowest polymorph**: 0.143 eV per atom
**Formation energy**: 258 kJ/mol of formula units



Entry 10:
Below is crystalline La4PrNd6 at its relaxed geometry, with properties calculated at the PBE-GGA level.

a = 9.729 Å, b = 9.729 Å, c = 9.729 Å
α = 137.99°, β = 137.99°, γ = 60.92°
Fractional coordinates of all 11 atoms:
La1 0.132 0.132 0.625
La2 0.493 0.868 0.000
La3 0.507 0.507 0.375
La4 0.868 0.493 0.000
Pr1 0.500 0.500 0.000
Nd1 0.000 0.500 0.500
Nd2 0.052 0.718 0.000
Nd3 0.282 0.282 0.334
Nd4 0.500 0.000 0.500
Nd5 0.718 0.052 0.000
Nd6 0.948 0.948 0.666

**Total magnetization**: 0.00 μB per cell
**E above lowest polymorph**: 0.120 eV per atom
**Formation energy**: 283 kJ/mol of formula units



> What is the formula in the second record?

La8Pr2Nd3



> What is the total magnetization in the tenth record?

0.00 μB per cell



> formation energy of number 8 (LaPr3Nd)?

137 kJ/mol of formula units



> Which of these has the lowest formation energy?

La3Pr6Nd2